Ta2Al2Ni after structural relaxation, computed with GGA-PBE.

Geometry as POSCAR:
```
Ta2Al2Ni
1.0
-1.707 1.707 7.274
1.707 -1.707 7.274
1.707 1.707 -7.274
Ta Al Ni
2 2 1
direct
0.404 0.404 0.000 Ta
0.596 0.596 0.000 Ta
0.750 0.250 0.500 Al
0.250 0.750 0.500 Al
0.000 0.000 0.000 Ni
```

ΔH_f (0 K) (eV per atom): 0.424
Distance to the lowest polymorph of the same formula (eV per atom): 0.596
DFT total energy (eV/atom): -6.970
Magnetization (μB/f.u.): 0.003